# HfMgNpO6

HfMgNpO6 after structural relaxation (PBE, Alexandria via LeMat-Bulk).

Calculated values
- V (Å³ per atom) = 13.1
- calculated total energy (eV per atom) = -8.9289
- space-group type = P-31c

```
HfMgNpO6
1.0
5.496 0.000 0.000
-2.748 4.760 0.000
0.000 0.000 9.019
O Hf Np Mg
12 2 2 2
Direct
0.656 0.002 0.367 O
0.653 0.998 0.867 O
0.998 0.344 0.133 O
0.344 0.998 0.633 O
0.002 0.656 0.867 O
0.347 0.344 0.367 O
0.002 0.347 0.633 O
0.656 0.653 0.133 O
0.653 0.656 0.633 O
0.347 0.002 0.133 O
0.998 0.653 0.367 O
0.344 0.347 0.867 O
0.333 0.667 0.250 Hf
0.667 0.333 0.750 Hf
0.333 0.667 0.750 Np
0.667 0.333 0.250 Np
0.000 0.000 0.500 Mg
0.000 0.000 0.000 Mg
```